# 1
First-principles (SCAN) data for a PBEsol-optimized structure of Rb3NF, as listed in Alexandria.

a b c (Å): 5.2173 5.2173 5.2173
angles (deg): 90.00 90.00 90.00
Closest atoms and distances in Å follow each position.
Space group Pm-3m (No. 221)
Unique sites:
Rb (0.0000, 0.0000, 0.5000)  2 F 2.61
N (0.5000, 0.5000, 0.5000)  12 Rb 3.69
F (0.0000, 0.0000, 0.0000)  6 Rb 2.61

For the raw formation energy, the calculation gives -0.573 eV per atom.


# 2
First-principles (SCAN) data for a PBEsol-optimized structure of RbN2F2, as listed in Alexandria.

a b c (Å): 3.8404 3.8404 6.1366
angles (deg): 90.00 90.00 90.00
Closest atoms and distances in Å follow each position.
Space group P4/mmm (No. 123)
Unique sites:
Rb (0.0000, 0.0000, 0.0000)  4 F 2.72
N (0.0000, 0.5000, 0.5000)  2 F 1.92
F (0.5000, 0.5000, 0.0000)  4 Rb 2.72
F (0.5000, 0.5000, 0.5000)  4 N 1.92

For the raw formation energy, the calculation gives 0.760 eV per atom.


# 3
First-principles (SCAN) data for a PBEsol-optimized structure of RbRhN2F, as listed in Alexandria.

a b c (Å): 4.5028 4.5028 4.6916
angles (deg): 90.00 90.00 90.00
Closest atoms and distances in Å follow each position.
Space group P4/mmm (No. 123)
Unique sites:
Rb (0.0000, 0.0000, 0.0000)  4 N 2.25, 2 F 2.35
Rh (0.5000, 0.5000, 0.5000)  4 F 3.18, 8 N 3.25
N (0.0000, 0.5000, 0.0000)  2 Rb 2.25
F (0.0000, 0.0000, 0.5000)  2 Rb 2.35

For the raw formation energy, the calculation gives 2.158 eV per atom.


# 4
First-principles (SCAN) data for a PBEsol-optimized structure of RbSN2F, as listed in Alexandria.

a b c (Å): 5.9243 5.9243 5.0250
angles (deg): 90.00 90.00 90.00
Closest atoms and distances in Å follow each position.
Space group P4/mmm (No. 123)
Unique sites:
Rb (0.0000, 0.0000, 0.0000)  2 F 2.51
S (0.5000, 0.5000, 0.5000)  8 N 3.88, 4 F 4.19
N (0.0000, 0.5000, 0.0000)  2 Rb 2.96
F (0.0000, 0.0000, 0.5000)  2 Rb 2.51

For the raw formation energy, the calculation gives 1.501 eV per atom.


# 5
First-principles (SCAN) data for a PBEsol-optimized structure of RbSeN2F, as listed in Alexandria.

a b c (Å): 3.7622 3.7622 5.0926
angles (deg): 90.00 90.00 90.00
Closest atoms and distances in Å follow each position.
Space group P4/mmm (No. 123)
Unique sites:
Rb (0.0000, 0.0000, 0.0000)  4 F 2.66
Se (0.5000, 0.5000, 0.5000)  4 N 1.88
N (0.0000, 0.5000, 0.5000)  2 Se 1.88
F (0.5000, 0.5000, 0.0000)  2 Se 2.55, 4 Rb 2.66

For the raw formation energy, the calculation gives 0.259 eV per atom.


# 6
First-principles (SCAN) data for a PBEsol-optimized structure of RbSiNF2, as listed in Alexandria.

a b c (Å): 4.8116 4.8116 5.0783
angles (deg): 90.00 90.00 90.00
Closest atoms and distances in Å follow each position.
Space group P4/mmm (No. 123)
Unique sites:
Rb (0.0000, 0.0000, 0.0000)  4 F 2.41, 2 N 2.54
Si (0.5000, 0.5000, 0.5000)  4 N 3.40, 8 F 3.50
N (0.0000, 0.0000, 0.5000)  2 Rb 2.54
F (0.0000, 0.5000, 0.0000)  2 Rb 2.41

For the raw formation energy, the calculation gives 0.501 eV per atom.